Density functional theory data (PBE) for an optimized crystal structure of NpCo2Ag2S6.

Magnetic moment (μB per formula unit): 2.873
Energy relative to the elements, uncorrected (kJ per mole of atoms): -51
Fermi-level density of states (states/eV/cell): 15.17

Structure (CIF):
```
data_NpCo2Ag2S6
_symmetry_space_group_name_H-M 'C 1 2/m 1'
_symmetry_Int_Tables_number 12
_cell_length_a 5.9281
_cell_length_b 10.3278
_cell_length_c 6.6600
_cell_angle_alpha 90.00
_cell_angle_beta 102.94
_cell_angle_gamma 90.00
loop_
_symmetry_equiv_pos_as_xyz
'x,y,z'
'-x,-y,-z'
'-x,y,-z'
'x,-y,z'
'x+1/2,y+1/2,z'
'-x+1/2,-y+1/2,-z'
'-x+1/2,y+1/2,-z'
'x+1/2,-y+1/2,z'
loop_
_atom_site_label
_atom_site_type_symbol
_atom_site_fract_x
_atom_site_fract_y
_atom_site_fract_z
_atom_site_occupancy
Np1 Np 0.0000 0.0000 0.0000 1
Co1 Co 0.0000 0.3333 0.0000 1
Ag1 Ag 0.0000 0.1401 0.5000 1
S1 S 0.1713 0.5000 0.2080 1
S2 S 0.2403 0.1913 0.2087 1
```